A:
DFT (PBE) results for a geometry-optimized CrFeTe structure.

Geometry as POSCAR:
```
CrFeTe
1.0
3.919 0.000 0.000
-1.960 3.394 0.000
0.000 0.000 3.990
Cr Fe Te
1 1 1
direct
0.000 0.000 0.000 Cr
0.667 0.333 0.185 Fe
0.333 0.667 0.564 Te
```

Space-group type: P3m1
N(E_F) (states/eV/cell): 2.5
M_tot (μB per formula unit): 0.4



B:
DFT (PBE) results for a geometry-optimized CrFeTe structure.

Geometry as POSCAR:
```
CrFeTe
1.0
2.983 0.000 0.000
0.000 19.776 0.000
0.000 0.000 3.948
Cr Fe Te
4 4 4
direct
0.000 0.076 0.250 Cr
0.000 0.924 0.750 Cr
0.500 0.424 0.750 Cr
0.500 0.576 0.250 Cr
0.000 0.468 0.250 Fe
0.000 0.532 0.750 Fe
0.500 0.032 0.750 Fe
0.500 0.968 0.250 Fe
0.000 0.338 0.250 Te
0.000 0.662 0.750 Te
0.500 0.162 0.750 Te
0.500 0.838 0.250 Te
```

Space-group type: Cmcm
N(E_F) (states/eV/cell): 7.6
M_tot (μB per formula unit): 1.1



The least stable of them is A.



A:
DFT (PBE) results for a geometry-optimized CrFe2Te2 structure.

Geometry as POSCAR:
```
CrFe2Te2
1.0
7.027 0.000 0.000
0.000 7.027 0.000
0.000 0.000 3.465
Cr Fe Te
2 4 4
direct
0.000 0.000 0.000 Cr
0.500 0.500 0.000 Cr
0.125 0.375 0.500 Fe
0.375 0.875 0.500 Fe
0.625 0.125 0.500 Fe
0.875 0.625 0.500 Fe
0.171 0.671 0.000 Te
0.329 0.171 0.000 Te
0.671 0.829 0.000 Te
0.829 0.329 0.000 Te
```

Space-group type: P4/mbm
N(E_F) (states/eV/cell): 14.2
M_tot (μB per formula unit): 4.5



B:
DFT (PBE) results for a geometry-optimized CrFe2Te2 structure.

Geometry as POSCAR:
```
CrFe2Te2
1.0
3.273 0.000 0.000
0.000 3.273 0.000
0.000 0.000 15.294
Cr Fe Te
2 4 4
direct
0.000 0.000 0.000 Cr
0.500 0.500 0.500 Cr
0.000 0.500 0.250 Fe
0.000 0.500 0.750 Fe
0.500 0.000 0.250 Fe
0.500 0.000 0.750 Fe
0.000 0.000 0.393 Te
0.000 0.000 0.607 Te
0.500 0.500 0.107 Te
0.500 0.500 0.893 Te
```

Space-group type: I4/mmm
N(E_F) (states/eV/cell): 21.7
M_tot (μB per formula unit): 0.0



The least stable of them is B.



A:
DFT (PBE) results for a geometry-optimized TiCrFe3 structure.

Geometry as POSCAR:
```
TiCrFe3
1.0
4.146 0.000 0.000
0.000 4.146 0.000
0.000 0.000 4.146
Ti Cr Fe
1 1 3
direct
0.000 0.000 0.000 Ti
0.500 0.500 0.500 Cr
0.000 0.500 0.500 Fe
0.500 0.000 0.500 Fe
0.500 0.500 0.000 Fe
```

Space-group type: Pm-3m
N(E_F) (states/eV/cell): 5.8
M_tot (μB per formula unit): 2.1



B:
DFT (PBE) results for a geometry-optimized TiCrFe3 structure.

Geometry as POSCAR:
```
TiCrFe3
1.0
4.139 0.000 0.000
0.000 4.139 0.000
0.000 0.000 4.139
Ti Cr Fe
1 1 3
direct
0.000 0.000 0.000 Ti
0.500 0.500 0.500 Cr
0.000 0.000 0.500 Fe
0.000 0.500 0.000 Fe
0.500 0.000 0.000 Fe
```

Space-group type: Pm-3m
N(E_F) (states/eV/cell): 14.7
M_tot (μB per formula unit): 0.1



The least stable of them is B.



A:
DFT (PBE) results for a geometry-optimized Ti2TlCrFe structure.

Geometry as POSCAR:
```
Ti2TlCrFe
1.0
4.426 0.000 0.000
0.000 4.426 0.000
0.000 0.000 4.970
Ti Tl Cr Fe
2 1 1 1
direct
0.000 0.500 0.000 Ti
0.500 0.000 0.000 Ti
0.000 0.000 0.500 Tl
0.500 0.500 0.500 Cr
0.000 0.000 0.000 Fe
```

Space-group type: P4/mmm
N(E_F) (states/eV/cell): 5.1
M_tot (μB per formula unit): 3.9



B:
DFT (PBE) results for a geometry-optimized Ti2TlCrFe structure.

Geometry as POSCAR:
```
Ti2TlCrFe
1.0
5.009 0.000 0.000
0.000 5.009 0.000
0.000 0.000 4.707
Ti Tl Cr Fe
2 1 1 1
direct
0.000 0.500 0.000 Ti
0.500 0.000 0.000 Ti
0.000 0.000 0.000 Tl
0.500 0.500 0.500 Cr
0.000 0.000 0.500 Fe
```

Space-group type: P4/mmm
N(E_F) (states/eV/cell): 9.7
M_tot (μB per formula unit): 2.6



The least stable of them is B.



A:
DFT (PBE) results for a geometry-optimized TlCr2Fe structure.

Geometry as POSCAR:
```
TlCr2Fe
1.0
3.114 0.000 0.000
0.000 4.442 0.000
0.000 0.000 8.506
Tl Cr Fe
2 4 2
direct
0.000 0.000 0.000 Tl
0.500 0.500 0.500 Tl
0.000 0.000 0.481 Cr
0.000 0.500 0.775 Cr
0.500 0.000 0.275 Cr
0.500 0.500 0.981 Cr
0.000 0.500 0.231 Fe
0.500 0.000 0.731 Fe
```

Space-group type: Imm2
N(E_F) (states/eV/cell): 7.8
M_tot (μB per formula unit): 2.5



B:
DFT (PBE) results for a geometry-optimized TlCr2Fe structure.

Geometry as POSCAR:
```
TlCr2Fe
1.0
3.176 0.000 0.000
0.000 3.202 0.000
0.000 0.000 5.852
Tl Cr Fe
1 2 1
direct
0.000 0.000 0.000 Tl
0.500 0.500 0.323 Cr
0.500 0.500 0.677 Cr
0.000 0.000 0.500 Fe
```

Space-group type: Pmmm
N(E_F) (states/eV/cell): 3.1
M_tot (μB per formula unit): 2.4



C:
DFT (PBE) results for a geometry-optimized TlCr2Fe structure.

Geometry as POSCAR:
```
TlCr2Fe
1.0
3.768 0.000 0.000
0.000 3.935 0.000
0.000 0.000 4.120
Tl Cr Fe
1 2 1
direct
0.000 0.000 0.000 Tl
0.000 0.500 0.500 Cr
0.500 0.000 0.500 Cr
0.500 0.500 0.000 Fe
```

Space-group type: Pmmm
N(E_F) (states/eV/cell): 3.3
M_tot (μB per formula unit): 1.4



D:
DFT (PBE) results for a geometry-optimized TlCr2Fe structure.

Geometry as POSCAR:
```
TlCr2Fe
1.0
2.960 0.000 0.000
-1.480 2.563 0.000
0.000 0.000 24.702
Tl Cr Fe
3 6 3
direct
0.000 0.000 0.000 Tl
0.333 0.667 0.667 Tl
0.667 0.333 0.333 Tl
0.000 0.000 0.501 Cr
0.000 0.000 0.765 Cr
0.333 0.667 0.167 Cr
0.333 0.667 0.432 Cr
0.667 0.333 0.099 Cr
0.667 0.333 0.834 Cr
0.000 0.000 0.238 Fe
0.333 0.667 0.905 Fe
0.667 0.333 0.572 Fe
```

Space-group type: R3m
N(E_F) (states/eV/cell): 11.4
M_tot (μB per formula unit): 3.1



The least stable of them is D.



A:
DFT (PBE) results for a geometry-optimized TlCr2Fe structure.

Geometry as POSCAR:
```
TlCr2Fe
1.0
6.170 0.000 0.000
0.000 6.170 0.000
0.000 0.000 6.170
Tl Cr Fe
4 8 4
direct
0.000 0.000 0.000 Tl
0.000 0.500 0.500 Tl
0.500 0.000 0.500 Tl
0.500 0.500 0.000 Tl
0.250 0.250 0.250 Cr
0.250 0.250 0.750 Cr
0.250 0.750 0.250 Cr
0.250 0.750 0.750 Cr
0.750 0.250 0.250 Cr
0.750 0.250 0.750 Cr
0.750 0.750 0.250 Cr
0.750 0.750 0.750 Cr
0.000 0.000 0.500 Fe
0.000 0.500 0.000 Fe
0.500 0.000 0.000 Fe
0.500 0.500 0.500 Fe
```

Space-group type: Fm-3m
N(E_F) (states/eV/cell): 13.6
M_tot (μB per formula unit): 5.3



B:
DFT (PBE) results for a geometry-optimized TlCr2Fe structure.

Geometry as POSCAR:
```
TlCr2Fe
1.0
8.909 0.000 0.000
0.000 2.916 0.000
-1.083 0.000 4.612
Tl Cr Fe
2 4 2
direct
0.000 0.000 0.000 Tl
0.500 0.500 0.000 Tl
0.237 0.000 0.668 Cr
0.263 0.500 0.332 Cr
0.737 0.500 0.668 Cr
0.763 0.000 0.332 Cr
0.000 0.500 0.500 Fe
0.500 0.000 0.500 Fe
```

Space-group type: C2/m
N(E_F) (states/eV/cell): 8.9
M_tot (μB per formula unit): 2.0



The least stable of them is A.



A:
DFT (PBE) results for a geometry-optimized TlCr2Fe structure.

Geometry as POSCAR:
```
TlCr2Fe
1.0
3.300 0.000 0.000
0.000 4.095 0.000
0.000 0.000 8.381
Tl Cr Fe
2 4 2
direct
0.000 0.000 0.000 Tl
0.500 0.500 0.500 Tl
0.000 0.500 0.238 Cr
0.000 0.500 0.762 Cr
0.500 0.000 0.262 Cr
0.500 0.000 0.738 Cr
0.000 0.000 0.500 Fe
0.500 0.500 0.000 Fe
```

Space-group type: Immm
N(E_F) (states/eV/cell): 8.7
M_tot (μB per formula unit): 2.1



B:
DFT (PBE) results for a geometry-optimized TlCr2Fe structure.

Geometry as POSCAR:
```
TlCr2Fe
1.0
2.907 0.000 0.000
-1.453 2.517 0.000
0.000 0.000 25.196
Tl Cr Fe
3 6 3
direct
0.000 0.000 0.000 Tl
0.333 0.667 0.667 Tl
0.667 0.333 0.333 Tl
0.000 0.000 0.238 Cr
0.000 0.000 0.762 Cr
0.333 0.667 0.429 Cr
0.333 0.667 0.904 Cr
0.667 0.333 0.096 Cr
0.667 0.333 0.571 Cr
0.000 0.000 0.500 Fe
0.333 0.667 0.167 Fe
0.667 0.333 0.833 Fe
```

Space-group type: R-3m
N(E_F) (states/eV/cell): 15.8
M_tot (μB per formula unit): 5.3



C:
DFT (PBE) results for a geometry-optimized TlCr2Fe structure.

Geometry as POSCAR:
```
TlCr2Fe
1.0
6.897 0.000 0.000
0.000 6.897 0.000
0.000 0.000 5.278
Tl Cr Fe
4 8 4
direct
0.000 0.000 0.000 Tl
0.000 0.500 0.250 Tl
0.500 0.000 0.750 Tl
0.500 0.500 0.500 Tl
0.183 0.250 0.625 Cr
0.250 0.683 0.875 Cr
0.250 0.817 0.375 Cr
0.317 0.250 0.125 Cr
0.683 0.750 0.125 Cr
0.750 0.183 0.375 Cr
0.750 0.317 0.875 Cr
0.817 0.750 0.625 Cr
0.000 0.000 0.500 Fe
0.000 0.500 0.750 Fe
0.500 0.000 0.250 Fe
0.500 0.500 0.000 Fe
```

Space-group type: I-42d
N(E_F) (states/eV/cell): 21.9
M_tot (μB per formula unit): 1.9



D:
DFT (PBE) results for a geometry-optimized TlCr2Fe structure.

Geometry as POSCAR:
```
TlCr2Fe
1.0
6.305 0.000 0.000
0.000 6.305 0.000
0.000 0.000 6.305
Tl Cr Fe
4 8 4
direct
0.000 0.000 0.000 Tl
0.000 0.500 0.500 Tl
0.500 0.000 0.500 Tl
0.500 0.500 0.000 Tl
0.000 0.000 0.500 Cr
0.000 0.500 0.000 Cr
0.250 0.250 0.750 Cr
0.250 0.750 0.250 Cr
0.500 0.000 0.000 Cr
0.500 0.500 0.500 Cr
0.750 0.250 0.250 Cr
0.750 0.750 0.750 Cr
0.250 0.250 0.250 Fe
0.250 0.750 0.750 Fe
0.750 0.250 0.750 Fe
0.750 0.750 0.250 Fe
```

Space-group type: F-43m
N(E_F) (states/eV/cell): 26.2
M_tot (μB per formula unit): 2.7



The least stable of them is C.



A:
DFT (PBE) results for a geometry-optimized TlCr2Fe structure.

Geometry as POSCAR:
```
TlCr2Fe
1.0
2.937 0.000 0.000
0.000 2.943 0.000
-0.011 0.000 7.012
Tl Cr Fe
1 2 1
direct
0.000 0.000 0.000 Tl
0.000 0.000 0.518 Cr
0.498 0.500 0.314 Cr
0.501 0.500 0.707 Fe
```

Space-group type: Pm
N(E_F) (states/eV/cell): 4.0
M_tot (μB per formula unit): 2.9



B:
DFT (PBE) results for a geometry-optimized TlCr2Fe structure.

Geometry as POSCAR:
```
TlCr2Fe
1.0
4.011 0.000 0.000
0.000 4.011 0.000
0.000 0.000 7.586
Tl Cr Fe
2 4 2
direct
0.000 0.000 0.000 Tl
0.500 0.500 0.500 Tl
0.000 0.000 0.500 Cr
0.000 0.500 0.750 Cr
0.500 0.000 0.250 Cr
0.500 0.500 0.000 Cr
0.000 0.500 0.250 Fe
0.500 0.000 0.750 Fe
```

Space-group type: I-4m2
N(E_F) (states/eV/cell): 8.9
M_tot (μB per formula unit): 2.4



C:
DFT (PBE) results for a geometry-optimized TlCr2Fe structure.

Geometry as POSCAR:
```
TlCr2Fe
1.0
3.098 0.000 0.000
0.000 4.671 0.000
0.000 0.000 8.362
Tl Cr Fe
2 4 2
direct
0.000 0.000 0.000 Tl
0.500 0.500 0.000 Tl
0.000 0.000 0.491 Cr
0.000 0.500 0.293 Cr
0.500 0.000 0.293 Cr
0.500 0.500 0.491 Cr
0.000 0.500 0.714 Fe
0.500 0.000 0.714 Fe
```

Space-group type: Cmm2
N(E_F) (states/eV/cell): 7.9
M_tot (μB per formula unit): 2.7



The least stable of them is C.